Density functional theory data (PBE with a Hubbard U) for an optimized crystal structure of Sr2PaCrO6.

abc: 5.8436 5.8708 8.2660
angles: 90.00 90.34 90.00
Closest atoms and distances in Å follow each position.
Positions (direct):
O: 0.0724 0.4833 0.7581  1 Cr 2.05, 1 Pa 2.17
O: 0.2916 0.7243 0.4623  1 Cr 2.05, 1 Pa 2.18
O: 0.5724 0.0167 0.2581  1 Cr 2.05, 1 Pa 2.17
O: 0.7916 0.7757 0.9623  1 Cr 2.05, 1 Pa 2.18
O: 0.7742 0.7897 0.5389  1 Cr 2.05, 1 Pa 2.18
O: 0.7084 0.2757 0.5377  1 Cr 2.05, 1 Pa 2.18
O: 0.7258 0.2897 0.9611  1 Cr 2.05, 1 Pa 2.18
O: 0.2258 0.2103 0.4611  1 Cr 2.05, 1 Pa 2.18
O: 0.9276 0.5167 0.2419  1 Cr 2.05, 1 Pa 2.17
O: 0.4276 0.9833 0.7419  1 Cr 2.05, 1 Pa 2.17
O: 0.2084 0.2243 0.0377  1 Cr 2.05, 1 Pa 2.18
O: 0.2742 0.7103 0.0389  1 Cr 2.05, 1 Pa 2.18
Sr: 0.9922 0.0298 0.7515  6 O 2.56-2.81
Sr: 0.5078 0.5298 0.7485  6 O 2.56-2.81
Sr: 0.4922 0.4702 0.2515  6 O 2.56-2.81
Sr: 0.0078 0.9702 0.2485  6 O 2.56-2.81
Cr: 0.5000 0.0000 0.5000  6 O 2.05
Cr: 0.0000 0.5000 0.0000  6 O 2.05
Pa: 0.0000 0.5000 0.5000  6 O 2.17-2.18
Pa: 0.5000 0.0000 0.0000  6 O 2.17-2.18

Summary:
symmetry	P2_1/c
total magnetic moment	0.300	μB per atom
V	284	Å³ per cell
total energy	-159.841	eV/cell